# Pm2SmAg6 (PBE, relaxed)
# Energy above the most stable polymorph in this dataset: 73.7 meV/atom
# Total energy: -3.6655 eV/atom
# Formation enthalpy at 0 K: -0.18 eV per atom
# Spin magnetization: 0.00 μB per cell
data_Pm2SmAg6
_cell_length_a 3.586
_cell_length_b 8.024
_cell_length_c 14.928
_cell_angle_alpha 90.00
_cell_angle_beta 90.00
_cell_angle_gamma 90.00
_space_group_name_H-M_alt 'I m m m'
_space_group_IT_number 71
_space_group_name_Hall '-I 2 2'
loop_
_atom_site_label
_atom_site_type_symbol
_atom_site_fract_x
_atom_site_fract_y
_atom_site_fract_z
Pm1 Pm 0.000 0.000 0.142
Sm1 Sm 0.000 0.500 0.000
Ag1 Ag 0.000 0.178 0.326
Ag2 Ag 0.000 0.318 0.500